First-principles (PBE) data for a relaxed structure of CoCuNi3, as listed in Alexandria.

## Properties
Electronic total energy = -5.442 eV per atom
Space-group type = Pmmn, No. 59
Distance to the lowest polymorph of the same formula = 0.260 eV/atom
Calculated formation energy = 0.27 eV/atom

```
data_CoCuNi3
_space_group_name_H-M_alt 'P 1'
_space_group_IT_number 1
_space_group_name_Hall 'P 1'
_cell_length_a 2.4593
_cell_length_b 6.2745
_cell_length_c 7.8662
_cell_angle_alpha 90.00
_cell_angle_beta 90.00
_cell_angle_gamma 90.00
loop_
_atom_site_label
_atom_site_type_symbol
_atom_site_fract_x
_atom_site_fract_y
_atom_site_fract_z
Co1 Co 0.7500 0.2500 0.9766
Co2 Co 0.2500 0.7500 0.0234
Ni1 Ni 0.2500 0.2500 0.7010
Ni2 Ni 0.2500 0.4415 0.1993
Ni3 Ni 0.7500 0.7500 0.2990
Ni4 Ni 0.2500 0.0585 0.1993
Ni5 Ni 0.7500 0.5585 0.8007
Ni6 Ni 0.7500 0.9415 0.8007
Cu1 Cu 0.2499 0.7500 0.5668
Cu2 Cu 0.7501 0.2500 0.4332
```